[1]
This record from Alexandria describes a relaxed structure of Nd2ThIn. The functional is GGA-PBE.

Values from the calculation:
Raw total energy (eV/atom): -4.969
DFT formation energy (eV/atom): -0.0453
Energy above the lowest structure with this stoichiometry (meV per atom): 179

Lattice parameters (Å, degrees): 7.890 7.890 7.890 90.00 90.00 90.00
Space group Fm-3m (No. 225)
Asymmetric unit:
Nd1 0.250 0.250 0.250 (multiplicity 8)
Th1 0.000 0.000 0.000 (multiplicity 4)
In1 0.000 0.000 0.500 (multiplicity 4)


[2]
This record from Alexandria describes a relaxed structure of NbPd2SeF. The functional is GGA-PBE.

Values from the calculation:
Raw total energy (eV/atom): -5.066
Energy relative to the elements, uncorrected (eV per formula unit): 0.48

Lattice parameters (Å, degrees): 4.608 4.608 4.059 90.00 90.00 90.00
Space group P4/mmm (No. 123)
Asymmetric unit:
Nb1 0.000 0.000 0.000 (multiplicity 1)
Pd1 0.000 0.500 0.500 (multiplicity 2)
Se1 0.500 0.500 0.000 (multiplicity 1)
F1 0.000 0.000 0.500 (multiplicity 1)


[3]
This record from Alexandria describes a relaxed structure of Dy3Co3B8. The functional is GGA-PBE.

Values from the calculation:
Raw total energy (eV/atom): -6.571
DFT formation energy (eV/atom): -0.2462

Lattice parameters (Å, degrees): 3.240 8.953 10.299 90.00 90.00 90.00
Space group Immm (No. 71)
Asymmetric unit:
Dy1 0.000 0.000 0.000 (multiplicity 2)
Dy2 0.000 0.000 0.296 (multiplicity 4)
Co1 0.000 0.221 0.500 (multiplicity 4)
Co2 0.000 0.500 0.000 (multiplicity 2)
B1 0.000 0.279 0.136 (multiplicity 8)
B2 0.000 0.305 0.319 (multiplicity 8)


[4]
This record from Alexandria describes a relaxed structure of LaCe2Sc. The functional is GGA-PBE.

Values from the calculation:
Raw total energy (eV/atom): -5.505
DFT formation energy (eV/atom): 0.2765
Energy above the lowest structure with this stoichiometry (meV per atom): 162

Lattice parameters (Å, degrees): 7.894 7.894 7.894 90.00 90.00 90.00
Space group Fm-3m (No. 225)
Asymmetric unit:
La1 0.000 0.000 0.000 (multiplicity 4)
Ce1 0.250 0.250 0.250 (multiplicity 8)
Sc1 0.000 0.000 0.500 (multiplicity 4)


[5]
This record from Alexandria describes a relaxed structure of Ac2TmZn3Ag12. The functional is GGA-PBE.

Values from the calculation:
Raw total energy (eV/atom): -2.778
DFT formation energy (eV/atom): 0.0402

Lattice parameters (Å, degrees): 7.0600 7.0600 29.9177 90.00 90.00 120.00
Space group R-3m (No. 166, hexagonal axes)
Asymmetric unit:
Ac1 0.0000 0.0000 0.1402 (multiplicity 6)
Tm1 0.0000 0.0000 0.5000 (multiplicity 3)
Zn1 0.0000 0.5000 0.0000 (multiplicity 9)
Ag1 0.0355 0.5177 0.8994 (multiplicity 18)
Ag2 0.0699 0.5349 0.6252 (multiplicity 18)


[6]
This record from Alexandria describes a relaxed structure of SrLa2I6. The functional is GGA-PBE.

Values from the calculation:
Raw total energy (eV/atom): -3.746
Energy relative to the elements, uncorrected (eV per formula unit): -12.88

Lattice parameters (Å, degrees): 17.532 11.542 7.517 90.00 109.94 90.00
Space group C2/c (No. 15)
Asymmetric unit:
Sr1 0.000 0.188 0.250 (multiplicity 4)
La1 0.237 0.486 0.942 (multiplicity 8)
I1 0.094 0.400 0.565 (multiplicity 8)
I2 0.105 0.061 0.678 (multiplicity 8)
I3 0.182 0.265 0.182 (multiplicity 8)


Computed DOS at the Fermi energy, in the same sequence as the records: 28.34 5.36 15.63 68.66 25.85 2.87 states/eV/cell.